The following is a GGA-PBE calculation of a geometry-optimized Y2BeAuC structure, from Alexandria.

POSCAR file:
```
Y2BeAuC
1.0
5.056 0.000 0.000
0.000 5.056 0.000
0.000 0.000 3.516
Au Y Be C
1 2 1 1
direct
0.500 0.500 0.500 Au
0.500 0.000 0.000 Y
0.000 0.500 0.000 Y
0.000 0.000 0.500 Be
0.000 0.000 0.000 C
```

Summary:
**N(E_F)**: 4.09 states/eV/cell
**Formation enthalpy at 0 K**: -0.467 eV per atom
**Space-group type**: P4/mmm